# 1
DFT (GGA-PBE) results for Sc4Ir2Os after structural relaxation.

The mass density is 9.50 g/cm³. For the energy of formation from the pure elements, the calculation gives -0.704 eV/atom. Its magnetization is 0.000 μB/atom. For the total energy, the calculation gives -8.4584 eV/atom. For the density of states at the Fermi level, the calculation gives 0.572 states/eV per atom.

The structure belongs to space group R-3m (No. 166, hexagonal axes); the cell edges are 4.5605, 4.5605 and 21.9675 Å and the angles 90.00°, 90.00° and 120.00°. The inequivalent atoms are Sc at (0.0000, 0.0000, 0.1231), Sc at (0.0000, 0.0000, 0.3739), Ir at (0.0000, 0.0000, 0.2490) and Os at (0.0000, 0.0000, 0.5000).



# 2
DFT (GGA-PBE) results for Rb2Al2Cd after structural relaxation.

The mass density is 2.83 g/cm³. For the energy of formation from the pure elements, the calculation gives 0.603 eV/atom. Its magnetization is 0.000 μB/atom. For the total energy, the calculation gives -1.4637 eV/atom. For the density of states at the Fermi level, the calculation gives 0.780 states/eV per atom.

The structure belongs to space group I4/mmm (No. 139); the cell edges are 5.021, 5.021 and 15.708 Å and the angles 90.00°, 90.00° and 90.00°. The inequivalent atoms are Rb at (0.000, 0.500, 0.250), Al at (0.000, 0.000, 0.081) and Cd at (0.000, 0.000, 0.500).



# 3
DFT (GGA-PBE) results for Mg2IrRu after structural relaxation.

The mass density is 9.17 g/cm³. For the energy of formation from the pure elements, the calculation gives -0.026 eV/atom. Its magnetization is 0.000 μB/atom. For the total energy, the calculation gives -5.3578 eV/atom. For the density of states at the Fermi level, the calculation gives 1.122 states/eV per atom.

The structure belongs to space group Pmmm (No. 47); the cell edges are 3.033, 4.339 and 4.703 Å and the angles 90.00°, 90.00° and 90.00°. The inequivalent atoms are Mg at (0.000, 0.000, 0.000), Mg at (0.500, 0.000, 0.500), Ir at (0.000, 0.500, 0.500) and Ru at (0.500, 0.500, 0.000).



# 4
DFT (GGA-PBE) results for RbTl2SiAu2 after structural relaxation.

The mass density is 8.66 g/cm³. Its magnetization is 0.000 μB/atom. For the total energy, the calculation gives -3.0533 eV/atom. For the density of states at the Fermi level, the calculation gives 0.346 states/eV per atom. As for the uncorrected formation energy: -0.107 eV/atom.

The structure belongs to space group Pmc2_1 (No. 26); the cell edges are 4.524, 8.366 and 9.281 Å and the angles 90.00°, 90.00° and 90.00°. The inequivalent atoms are Rb at (0.000, 0.213, 0.000), Tl at (0.000, 0.328, 0.640), Tl at (0.500, 0.451, 0.357), Si at (0.500, 0.087, 0.373), Au at (0.000, 0.199, 0.349) and Au at (0.500, 0.068, 0.647).



# 5
DFT (GGA-PBE) results for NaNb2Ni after structural relaxation.

The mass density is 6.77 g/cm³. For the energy of formation from the pure elements, the calculation gives 0.755 eV/atom. Its magnetization is 0.177 μB/atom. For the total energy, the calculation gives -6.0545 eV/atom. For the density of states at the Fermi level, the calculation gives 1.109 states/eV per atom.

The structure belongs to space group Fm-3m (No. 225); the cell edges are 6.403, 6.403 and 6.403 Å and the angles 90.00°, 90.00° and 90.00°. The inequivalent atoms are Na at (0.000, 0.000, 0.000), Nb at (0.250, 0.250, 0.250) and Ni at (0.000, 0.000, 0.500).



# 6
DFT (GGA-PBE) results for NpSi2Rh after structural relaxation.

The mass density is 10.20 g/cm³. Its magnetization is 1.019 μB/atom. For the total energy, the calculation gives -8.1624 eV/atom. For the density of states at the Fermi level, the calculation gives 1.383 states/eV per atom. As for the uncorrected formation energy: -0.378 eV/atom.

The structure belongs to space group P4/mmm (No. 123); the cell edges are 3.042, 3.042 and 6.967 Å and the angles 90.00°, 90.00° and 90.00°. The inequivalent atoms are Np at (0.000, 0.000, 0.000), Si at (0.500, 0.500, 0.296) and Rh at (0.000, 0.000, 0.500).



# 7
DFT (GGA-PBE) results for AcY3Er4 after structural relaxation.

The mass density is 7.17 g/cm³. For the energy of formation from the pure elements, the calculation gives 0.191 eV/atom. Its magnetization is 0.000 μB/atom. For the total energy, the calculation gives -5.0279 eV/atom. For the density of states at the Fermi level, the calculation gives 1.736 states/eV per atom.

The structure belongs to space group C2/m (No. 12); the cell edges are 23.855, 3.521 and 6.681 Å and the angles 90.00°, 106.26° and 90.00°. The inequivalent atoms are Ac at (0.000, 0.000, 0.000), Y at (0.000, 0.500, 0.500), Y at (0.130, 0.500, 0.883), Er at (0.128, 0.500, 0.374) and Er at (0.240, 0.000, 0.247).



# 8
DFT (GGA-PBE) results for PrHo4Sc7 after structural relaxation.

The mass density is 5.41 g/cm³. For the energy of formation from the pure elements, the calculation gives 0.266 eV/atom. Its magnetization is 0.000 μB/atom. For the total energy, the calculation gives -5.3512 eV/atom. For the density of states at the Fermi level, the calculation gives 1.953 states/eV per atom.

The structure belongs to space group C2/m (No. 12); the cell edges are 11.394, 5.577 and 12.137 Å and the angles 90.00°, 117.43° and 90.00°. The inequivalent atoms are Pr at (0.000, 0.000, 0.000), Ho at (0.086, 0.500, 0.306), Ho at (0.144, 0.000, 0.774), Sc at (0.000, 0.500, 0.000), Sc at (0.126, 0.000, 0.485), Sc at (0.170, 0.500, 0.629) and Sc at (0.209, 0.500, 0.918).



# 9
DFT (GGA-PBE) results for LaPaCo2 after structural relaxation.

The mass density is 9.67 g/cm³. For the energy of formation from the pure elements, the calculation gives -0.162 eV/atom. Its magnetization is 0.000 μB/atom. For the total energy, the calculation gives -7.3212 eV/atom. For the density of states at the Fermi level, the calculation gives 0.615 states/eV per atom.

The structure belongs to space group R-3m (No. 166, hexagonal axes); the cell edges are 3.8286, 3.8286 and 19.7930 Å and the angles 90.00°, 90.00° and 120.00°. The inequivalent atoms are La at (0.0000, 0.0000, 0.0000), Pa at (0.0000, 0.0000, 0.5000) and Co at (0.0000, 0.0000, 0.2383).



# 10
DFT (GGA-PBE) results for Al2PtCl after structural relaxation.

The mass density is 7.08 g/cm³. Its magnetization is 0.000 μB/atom. For the total energy, the calculation gives -4.2543 eV/atom. For the density of states at the Fermi level, the calculation gives 0.320 states/eV per atom. As for the uncorrected formation energy: -0.411 eV/atom.

The structure belongs to space group P4/mmm (No. 123); the cell edges are 4.879, 4.879 and 2.804 Å and the angles 90.00°, 90.00° and 90.00°. The inequivalent atoms are Al at (0.000, 0.500, 0.000), Pt at (0.000, 0.000, 0.500) and Cl at (0.500, 0.500, 0.500).



# 11
DFT (GGA-PBE) results for UP2S6 after structural relaxation.

The mass density is 3.35 g/cm³. Its magnetization is 0.222 μB/atom. For the total energy, the calculation gives -5.8343 eV/atom. For the density of states at the Fermi level, the calculation gives 0.846 states/eV per atom. As for the uncorrected formation energy: -0.626 eV/atom.

The structure belongs to space group P4_2/m (No. 84); the cell edges are 7.087, 7.087 and 9.706 Å and the angles 90.00°, 90.00° and 90.00°. The inequivalent atoms are U at (0.000, 0.000, 0.250), P at (0.058, 0.347, 0.000), S at (0.172, 0.173, 0.500) and S at (0.206, 0.314, 0.176).



# 12
DFT (GGA-PBE) results for Ag2SbCl after structural relaxation.

The mass density is 6.91 g/cm³. Its magnetization is 0.000 μB/atom. For the total energy, the calculation gives -2.9115 eV/atom. For the density of states at the Fermi level, the calculation gives 0.379 states/eV per atom. As for the uncorrected formation energy: 0.006 eV/atom.

The structure belongs to space group R3m (No. 160, hexagonal axes); the cell edges are 3.4695, 3.4695 and 25.7867 Å and the angles 90.00°, 90.00° and 120.00°. The inequivalent atoms are Ag at (0.0000, 0.0000, 0.0000), Ag at (0.0000, 0.0000, 0.2553), Sb at (0.0000, 0.0000, 0.5068) and Cl at (0.0000, 0.0000, 0.7355).



> What is the formula in the eighth record?

PrHo4Sc7